[1]
! PBE LaCCl2, relaxed; values from VASP
&SYSTEM
  ibrav = 0, nat = 4, ntyp = 3
/
ATOMIC_SPECIES
C 12.01 C.upf
Cl 35.45 Cl.upf
La 138.91 La.upf
CELL_PARAMETERS angstrom
-2.172 -3.577 -2.579
-4.895 -0.449 0.059
-2.618 1.104 -4.011
ATOMIC_POSITIONS crystal
C 0.000 0.000 0.000
Cl 0.250 0.250 0.250
Cl 0.750 0.750 0.750
La 0.500 0.500 0.500
! - Magnetization: 3.0 Bohr magnetons per cell
! - DOS at the Fermi energy: 0.00 states/eV/f.u.
! - ΔE to the lowest computed polymorph: 0 meV per atom
! - Energy relative to the elements, uncorrected: -0.17 eV/atom



[2]
! PBE LaCCl3, relaxed; values from VASP
&SYSTEM
  ibrav = 0, nat = 5, ntyp = 3
/
ATOMIC_SPECIES
C 12.01 C.upf
Cl 35.45 Cl.upf
La 138.91 La.upf
CELL_PARAMETERS angstrom
5.581 0.000 0.000
0.000 5.581 0.000
0.000 0.000 5.581
ATOMIC_POSITIONS crystal
C 0.500 0.500 0.500
Cl 0.000 0.500 0.000
Cl 0.000 0.000 0.500
Cl 0.500 0.000 0.000
La 0.000 0.000 0.000
! - Magnetization: 2.0 Bohr magnetons per cell
! - DOS at the Fermi energy: 24.34 states/eV/f.u.
! - ΔE to the lowest computed polymorph: 0 meV per atom
! - Energy relative to the elements, uncorrected: -0.29 eV/atom